## NaNdVO4 (GGA+U)

Data for a geometry-optimized NaNdVO4 structure.

The structure belongs to space group P2_1/m (No. 11); the cell edges are 5.969, 6.360 and 6.837 Å and the angles 90.00°, 115.59° and 90.00°. The asymmetric unit holds Na at (0.190, 0.250, 0.036), Nd at (0.161, 0.750, 0.494), V at (0.434, 0.250, 0.680), O at (0.220, 0.044, 0.709), O at (0.238, 0.750, 0.171) and O at (0.387, 0.250, 0.407).

As for the density of states at the Fermi level: 0.000 states/eV/f.u. The total energy comes out at -0.522 Ry per atom. The density comes out at 4.0 g cm⁻³.